A crystal of Zn2Rh relaxed with PBEsol. Source: Alexandria, functional meta-GGA SCAN.

Calculated values
The space group is P6/mmm, No. 191.

Cell lengths 4.087, 4.087, 2.746 Å; angles 90.00, 90.00, 120.00 degrees
Atoms (fractional coordinates):
1 Zn 0.333 0.667 0.000
2 Zn 0.667 0.333 0.000
3 Rh 0.000 0.000 0.500

=====

A crystal of ZnRh3 relaxed with PBEsol. Source: Alexandria, functional meta-GGA SCAN.

Calculated values
The space group is Pmm2, No. 25.

Cell lengths 2.693, 4.322, 4.594 Å; angles 90.00, 90.00, 90.00 degrees
Atoms (fractional coordinates):
1 Zn 0.000 0.000 0.000
2 Rh 0.000 0.500 0.659
3 Rh 0.500 0.000 0.500
4 Rh 0.500 0.500 0.157

=====

A crystal of ZnRh3 relaxed with PBEsol. Source: Alexandria, functional meta-GGA SCAN.

Calculated values
The space group is R-3m, No. 166.

Cell lengths 8.682, 8.682, 8.682 Å; angles 17.80, 17.80, 17.80 degrees
Atoms (fractional coordinates):
1 Zn 0.000 0.000 0.000
2 Rh 0.251 0.251 0.251
3 Rh 0.500 0.500 0.500
4 Rh 0.749 0.749 0.749

=====

A crystal of Zn5Rh relaxed with PBEsol. Source: Alexandria, functional meta-GGA SCAN.

Calculated values
The space group is Cmmm, No. 65.

Cell lengths 6.128, 6.128, 3.662 Å; angles 90.00, 90.00, 144.09 degrees
Atoms (fractional coordinates):
1 Zn 0.000 0.000 0.000
2 Zn 0.163 0.837 0.500
3 Zn 0.334 0.666 0.000
4 Zn 0.666 0.334 0.000
5 Zn 0.837 0.163 0.500
6 Rh 0.500 0.500 0.500

=====

A crystal of ZnRh2 relaxed with PBEsol. Source: Alexandria, functional meta-GGA SCAN.

Calculated values
The space group is Cm, No. 8.

Cell lengths 5.013, 5.013, 6.315 Å; angles 103.08, 103.08, 31.31 degrees
Atoms (fractional coordinates):
1 Zn 0.000 0.000 0.000
2 Zn 0.676 0.676 0.344
3 Rh 0.278 0.278 0.061
4 Rh 0.341 0.341 0.673
5 Rh 0.617 0.617 0.727
6 Rh 0.953 0.953 0.389

=====

A crystal of ZnRh2 relaxed with PBEsol. Source: Alexandria, functional meta-GGA SCAN.

Calculated values
The space group is I4/mmm, No. 139.

Cell lengths 5.784, 5.784, 5.784 Å; angles 152.95, 152.95, 38.63 degrees
Atoms (fractional coordinates):
1 Zn 0.000 0.000 0.000
2 Rh 0.333 0.333 0.000
3 Rh 0.667 0.667 0.000

=====

A crystal of Zn2Rh relaxed with PBEsol. Source: Alexandria, functional meta-GGA SCAN.

Calculated values
The space group is Cmcm, No. 63.

Cell lengths 6.623, 6.623, 4.136 Å; angles 90.00, 90.00, 154.06 degrees
Atoms (fractional coordinates):
1 Zn 0.065 0.935 0.750
2 Zn 0.268 0.732 0.250
3 Zn 0.732 0.268 0.750
4 Zn 0.935 0.065 0.250
5 Rh 0.398 0.602 0.750
6 Rh 0.602 0.398 0.250

=====

A crystal of Zn3Rh relaxed with PBEsol. Source: Alexandria, functional meta-GGA SCAN.

Calculated values
The space group is P6_3/mmc, No. 194.

Cell lengths 5.321, 5.321, 4.322 Å; angles 90.00, 90.00, 120.00 degrees
Atoms (fractional coordinates):
1 Zn 0.168 0.336 0.250
2 Zn 0.168 0.832 0.250
3 Zn 0.336 0.168 0.750
4 Zn 0.664 0.832 0.250
5 Zn 0.832 0.168 0.750
6 Zn 0.832 0.664 0.750
7 Rh 0.333 0.667 0.750
8 Rh 0.667 0.333 0.250

=====

A crystal of Zn13Rh relaxed with PBEsol. Source: Alexandria, functional meta-GGA SCAN.

Calculated values
The space group is C2/m, No. 12.

Cell lengths 6.498, 6.498, 5.080 Å; angles 99.40, 99.40, 69.19 degrees
Atoms (fractional coordinates):
1 Zn 0.000 0.000 0.000
2 Zn 0.001 0.638 0.198
3 Zn 0.223 0.223 0.365
4 Zn 0.226 0.615 0.676
5 Zn 0.362 0.999 0.802
6 Zn 0.385 0.774 0.324
7 Zn 0.388 0.388 0.071
8 Zn 0.612 0.612 0.929
9 Zn 0.615 0.226 0.676
10 Zn 0.638 0.001 0.198
11 Zn 0.774 0.385 0.324
12 Zn 0.777 0.777 0.635
13 Zn 0.999 0.362 0.802
14 Rh 0.000 0.000 0.500

=====

A crystal of Zn3Rh relaxed with PBEsol. Source: Alexandria, functional meta-GGA SCAN.

Calculated values
The space group is I4/mmm, No. 139.

Cell lengths 8.097, 8.097, 8.097 Å; angles 153.46, 153.46, 37.89 degrees
Atoms (fractional coordinates):
1 Zn 0.000 0.500 0.500
2 Zn 0.128 0.128 0.000
3 Zn 0.250 0.750 0.500
4 Zn 0.500 0.000 0.500
5 Zn 0.750 0.250 0.500
6 Zn 0.872 0.872 0.000
7 Rh 0.379 0.379 0.000
8 Rh 0.621 0.621 0.000

=====

A crystal of Zn2Rh relaxed with PBEsol. Source: Alexandria, functional meta-GGA SCAN.

Calculated values
The space group is Cm, No. 8.

Cell lengths 4.964, 4.964, 6.166 Å; angles 103.82, 103.82, 33.14 degrees
Atoms (fractional coordinates):
1 Zn 0.000 0.000 0.000
2 Zn 0.053 0.053 0.592
3 Zn 0.377 0.377 0.275
4 Zn 0.718 0.718 0.927
5 Rh 0.340 0.340 0.675
6 Rh 0.659 0.659 0.319

=====

A crystal of ZnRh3 relaxed with PBEsol. Source: Alexandria, functional meta-GGA SCAN.

Calculated values
The space group is P4/mmm, No. 123.

Cell lengths 2.702, 2.702, 7.306 Å; angles 90.00, 90.00, 90.00 degrees
Atoms (fractional coordinates):
1 Zn 0.000 0.000 0.000
2 Rh 0.000 0.000 0.500
3 Rh 0.500 0.500 0.250
4 Rh 0.500 0.500 0.750

=====

| no. | formation energy (kJ per mole of atoms) | energy (eV per atom) |
| --- | --- | --- |
| 1 | -32 | -20.60 |
| 2 | -12 | -28.83 |
| 3 | -11 | -28.83 |
| 4 | -23 | -17.13 |
| 5 | -19 | -27.22 |
| 6 | -18 | -27.21 |
| 7 | -40 | -20.68 |
| 8 | -33 | -18.92 |
| 9 | -14 | -15.11 |
| 10 | -36 | -18.95 |
| 11 | -29 | -20.56 |
| 12 | -15 | -28.86 |